Entry 1:
# Zr2AlZn | Alexandria via LeMat-Bulk | PBEsol | relaxed
data_Zr2AlZn
_symmetry_space_group_name_H-M 'A m m 2'
_symmetry_Int_Tables_number 38
_cell_length_a 4.144
_cell_length_b 3.343
_cell_length_c 10.829
_cell_angle_alpha 90.00
_cell_angle_beta 90.00
_cell_angle_gamma 90.00
loop_
_symmetry_equiv_pos_as_xyz
'x,y,z'
'-x,-y,z'
'-x,y,z'
'x,-y,z'
'x,y+1/2,z+1/2'
'-x,-y+1/2,z+1/2'
'-x,y+1/2,z+1/2'
'x,-y+1/2,z+1/2'
loop_
_atom_site_label
_atom_site_fract_x
_atom_site_fract_y
_atom_site_fract_z
Zr1 0.000 0.000 0.000
Zr2 0.500 0.000 0.328
Al1 0.000 0.000 0.731
Zn1 0.500 0.000 0.594
# - E_form (eV per atom) = -0.3408
# - density of states at the Fermi level (states/eV/f.u.) = 5.52

Entry 2:
# Li2ZnNi | Alexandria via LeMat-Bulk | PBEsol | relaxed
data_Li2ZnNi
_symmetry_space_group_name_H-M 'C 1 m 1'
_symmetry_Int_Tables_number 8
_cell_length_a 8.507
_cell_length_b 2.577
_cell_length_c 4.653
_cell_angle_alpha 90.00
_cell_angle_beta 99.12
_cell_angle_gamma 90.00
loop_
_symmetry_equiv_pos_as_xyz
'x,y,z'
'x,-y,z'
'x+1/2,y+1/2,z'
'x+1/2,-y+1/2,z'
loop_
_atom_site_label
_atom_site_fract_x
_atom_site_fract_y
_atom_site_fract_z
Li1 0.000 0.000 0.000
Li2 0.237 0.000 0.759
Zn1 0.253 0.500 0.292
Ni1 0.492 0.000 0.482
# - E_form (eV per atom) = -0.0724
# - density of states at the Fermi level (states/eV/f.u.) = 1.55

Entry 3:
# Fe2NiAg | Alexandria via LeMat-Bulk | PBEsol | relaxed
data_Fe2NiAg
_symmetry_space_group_name_H-M 'P 1 2/m 1'
_symmetry_Int_Tables_number 10
_cell_length_a 4.406
_cell_length_b 2.627
_cell_length_c 4.515
_cell_angle_alpha 90.00
_cell_angle_beta 108.11
_cell_angle_gamma 90.00
loop_
_symmetry_equiv_pos_as_xyz
'x,y,z'
'-x,-y,-z'
'-x,y,-z'
'x,-y,z'
loop_
_atom_site_label
_atom_site_fract_x
_atom_site_fract_y
_atom_site_fract_z
Fe1 0.000 0.000 0.000
Fe2 0.500 0.500 0.000
Ni1 0.000 0.500 0.500
Ag1 0.500 0.000 0.500
# - E_form (eV per atom) = 0.3099
# - density of states at the Fermi level (states/eV/f.u.) = 3.12

Entry 4:
# Mg5Tl4 | Alexandria via LeMat-Bulk | PBEsol | relaxed
data_Mg5Tl4
_symmetry_space_group_name_H-M 'P 63/m c m'
_symmetry_Int_Tables_number 193
_symmetry_space_group_name_Hall '-P 6c 2'
_cell_length_a 8.9050
_cell_length_b 8.9050
_cell_length_c 6.1886
_cell_angle_alpha 90.00
_cell_angle_beta 90.00
_cell_angle_gamma 120.00
loop_
_atom_site_label
_atom_site_fract_x
_atom_site_fract_y
_atom_site_fract_z
Mg1 0.0000 0.3028 0.2500
Mg2 0.3333 0.6667 0.0000
Tl1 0.0000 0.0000 0.0000
Tl2 0.0000 0.3681 0.7500
# - E_form (eV per atom) = -0.0643
# - density of states at the Fermi level (states/eV/f.u.) = 3.17

Entry 5:
# Y2MgZn | Alexandria via LeMat-Bulk | PBEsol | relaxed
data_Y2MgZn
_symmetry_space_group_name_H-M 'I m m 2'
_symmetry_Int_Tables_number 44
_cell_length_a 3.532
_cell_length_b 5.140
_cell_length_c 10.593
_cell_angle_alpha 90.00
_cell_angle_beta 90.00
_cell_angle_gamma 90.00
loop_
_symmetry_equiv_pos_as_xyz
'x,y,z'
'-x,-y,z'
'-x,y,z'
'x,-y,z'
'x+1/2,y+1/2,z+1/2'
'-x+1/2,-y+1/2,z+1/2'
'-x+1/2,y+1/2,z+1/2'
'x+1/2,-y+1/2,z+1/2'
loop_
_atom_site_label
_atom_site_fract_x
_atom_site_fract_y
_atom_site_fract_z
Y1 0.000 0.000 0.000
Y2 0.000 0.500 0.216
Mg1 0.000 0.000 0.432
Zn1 0.000 0.500 0.736
# - E_form (eV per atom) = -0.1461
# - density of states at the Fermi level (states/eV/f.u.) = 5.00

Entry 6:
# LiAl5 | Alexandria via LeMat-Bulk | PBEsol | relaxed
data_LiAl5
_symmetry_space_group_name_H-M 'P 4/m m m'
_symmetry_Int_Tables_number 123
_symmetry_space_group_name_Hall '-P 4 2'
_cell_length_a 2.847
_cell_length_b 2.847
_cell_length_c 12.059
_cell_angle_alpha 90.00
_cell_angle_beta 90.00
_cell_angle_gamma 90.00
loop_
_atom_site_label
_atom_site_fract_x
_atom_site_fract_y
_atom_site_fract_z
Li1 0.000 0.000 0.000
Al1 0.000 0.000 0.336
Al2 0.500 0.500 0.172
Al3 0.500 0.500 0.500
# - E_form (eV per atom) = -0.0400
# - density of states at the Fermi level (states/eV/f.u.) = 1.87

Entry 7:
# La3MgI | Alexandria via LeMat-Bulk | PBEsol | relaxed
data_La3MgI
_symmetry_space_group_name_H-M 'P m -3 m'
_symmetry_Int_Tables_number 221
_symmetry_space_group_name_Hall '-P 4 2 3'
_cell_length_a 5.884
_cell_length_b 5.884
_cell_length_c 5.884
_cell_angle_alpha 90.00
_cell_angle_beta 90.00
_cell_angle_gamma 90.00
loop_
_atom_site_label
_atom_site_fract_x
_atom_site_fract_y
_atom_site_fract_z
La1 0.000 0.000 0.500
Mg1 0.500 0.500 0.500
I1 0.000 0.000 0.000
# - E_tot (eV/atom) = -3.8992
# - density of states at the Fermi level (states/eV/f.u.) = 4.45

Entry 8:
# MnPbAu2 | Alexandria via LeMat-Bulk | PBEsol | relaxed
data_MnPbAu2
_symmetry_space_group_name_H-M 'I m m m'
_symmetry_Int_Tables_number 71
_symmetry_space_group_name_Hall '-I 2 2'
_cell_length_a 3.305
_cell_length_b 4.639
_cell_length_c 9.719
_cell_angle_alpha 90.00
_cell_angle_beta 90.00
_cell_angle_gamma 90.00
loop_
_atom_site_label
_atom_site_fract_x
_atom_site_fract_y
_atom_site_fract_z
Mn1 0.000 0.000 0.000
Pb1 0.000 0.000 0.500
Au1 0.000 0.500 0.281
# - E_form (eV per atom) = 0.1961
# - density of states at the Fermi level (states/eV/f.u.) = 1.94

Entry 9:
# CrPt2 | Alexandria via LeMat-Bulk | PBEsol | relaxed
data_CrPt2
_symmetry_space_group_name_H-M 'C 1 2/m 1'
_symmetry_Int_Tables_number 12
_cell_length_a 11.775
_cell_length_b 2.679
_cell_length_c 5.368
_cell_angle_alpha 90.00
_cell_angle_beta 103.28
_cell_angle_gamma 90.00
loop_
_symmetry_equiv_pos_as_xyz
'x,y,z'
'-x,-y,-z'
'-x,y,-z'
'x,-y,z'
'x+1/2,y+1/2,z'
'-x+1/2,-y+1/2,-z'
'-x+1/2,y+1/2,-z'
'x+1/2,-y+1/2,z'
loop_
_atom_site_label
_atom_site_fract_x
_atom_site_fract_y
_atom_site_fract_z
Cr1 0.000 0.000 0.232
Pt1 0.152 0.500 0.576
Pt2 0.157 0.500 0.080
# - E_form (eV per atom) = -0.2422
# - density of states at the Fermi level (states/eV/f.u.) = 2.45

Entry 10:
# Li2TaTc | Alexandria via LeMat-Bulk | PBEsol | relaxed
data_Li2TaTc
_symmetry_space_group_name_H-M 'I m m m'
_symmetry_Int_Tables_number 71
_symmetry_space_group_name_Hall '-I 2 2'
_cell_length_a 3.081
_cell_length_b 4.053
_cell_length_c 9.710
_cell_angle_alpha 90.00
_cell_angle_beta 90.00
_cell_angle_gamma 90.00
loop_
_atom_site_label
_atom_site_fract_x
_atom_site_fract_y
_atom_site_fract_z
Li1 0.000 0.000 0.241
Ta1 0.000 0.500 0.000
Tc1 0.000 0.500 0.500
# - E_form (eV per atom) = 0.2399
# - density of states at the Fermi level (states/eV/f.u.) = 2.35

Entry 11:
# Y3SnOs | Alexandria via LeMat-Bulk | PBEsol | relaxed
data_Y3SnOs
_symmetry_space_group_name_H-M 'P m -3 m'
_symmetry_Int_Tables_number 221
_symmetry_space_group_name_Hall '-P 4 2 3'
_cell_length_a 5.249
_cell_length_b 5.249
_cell_length_c 5.249
_cell_angle_alpha 90.00
_cell_angle_beta 90.00
_cell_angle_gamma 90.00
loop_
_atom_site_label
_atom_site_fract_x
_atom_site_fract_y
_atom_site_fract_z
Y1 0.000 0.000 0.500
Sn1 0.500 0.500 0.500
Os1 0.000 0.000 0.000
# - E_form (eV per atom) = -0.1579
# - density of states at the Fermi level (states/eV/f.u.) = 2.55

Entry 12:
# Hf3NbIn | Alexandria via LeMat-Bulk | PBEsol | relaxed
data_Hf3NbIn
_symmetry_space_group_name_H-M 'P m -3 m'
_symmetry_Int_Tables_number 221
_symmetry_space_group_name_Hall '-P 4 2 3'
_cell_length_a 4.994
_cell_length_b 4.994
_cell_length_c 4.994
_cell_angle_alpha 90.00
_cell_angle_beta 90.00
_cell_angle_gamma 90.00
loop_
_atom_site_label
_atom_site_fract_x
_atom_site_fract_y
_atom_site_fract_z
Hf1 0.000 0.000 0.500
Nb1 0.000 0.000 0.000
In1 0.500 0.500 0.500
# - E_form (eV per atom) = 0.9393
# - density of states at the Fermi level (states/eV/f.u.) = 7.19

- Which value of density of states at the Fermi level does entry 11 give?
  2.55 states/eV/f.u.